This record from Alexandria via LeMat-Bulk describes an optimized crystal structure of Ba2ReMoO6. The functional is PBE with a Hubbard U.

Cell and atoms, written as POSCAR:
```
Ba2ReMoO6
1.0
-2.410 2.008 -5.033
0.396 -3.217 -4.967
-8.993 -4.846 -1.121
O Ba Re Mo
12 4 2 2
Direct
0.382 0.382 0.377
0.803 0.803 0.115
0.278 0.803 0.115
0.618 0.618 0.623
0.142 0.618 0.623
0.858 0.382 0.377
0.197 0.197 0.885
0.803 0.278 0.115
0.722 0.197 0.885
0.618 0.142 0.623
0.197 0.722 0.885
0.382 0.858 0.377
0.284 0.284 0.147
0.716 0.716 0.853
0.870 0.870 0.391
0.130 0.130 0.609
0.000 0.000 0.000
0.500 0.500 0.500
0.590 0.590 0.229
0.410 0.410 0.771
```

Properties
uncorrected energy	-148.62	eV/cell